1.
## TbNd2Y2Sc (PBE)

Data for an optimized crystal structure of TbNd2Y2Sc. Values from VASP.

Geometry as Quantum ESPRESSO input:
```
&SYSTEM
  ibrav = 0, nat = 12, ntyp = 4
/
ATOMIC_SPECIES
Sc 44.96 Sc.upf
Nd 144.24 Nd.upf
Tb 158.93 Tb.upf
Y 88.91 Y.upf
ATOMIC_POSITIONS crystal
Sc 0.5000 0.7576 0.3216
Sc 0.5000 0.2576 0.6784
Nd 0.0000 0.7576 0.1812
Nd 0.5000 0.2576 0.3491
Nd 0.5000 0.7576 0.6509
Nd 0.0000 0.2576 0.8188
Tb 0.0000 0.0075 0.5000
Tb 0.0000 0.5075 0.5000
Y 0.0000 0.2576 0.1587
Y 0.5000 0.5077 0.0000
Y 0.0000 0.7576 0.8413
Y 0.5000 0.0077 0.0000
CELL_PARAMETERS angstrom
5.5975 0.0000 0.0000
0.0000 7.0573 0.0000
0.0000 0.0000 9.6854
```

Uncorrected energy (eV/cell): -66.04
Energy of formation from the pure elements (eV per atom): 0.07
DOS(E_F) (states/eV per cell): 21.43

2.
## LiCdS2Cl (PBE)

Data for an optimized crystal structure of LiCdS2Cl. Values from VASP.

Geometry as Quantum ESPRESSO input:
```
&SYSTEM
  ibrav = 0, nat = 5, ntyp = 4
/
ATOMIC_SPECIES
S 32.06 S.upf
Cd 112.41 Cd.upf
Cl 35.45 Cl.upf
Li 6.94 Li.upf
ATOMIC_POSITIONS crystal
S 0.5000 0.0000 0.0000
S 0.0000 0.5000 0.0000
Cd 0.0000 0.0000 0.0000
Cl 0.0000 0.0000 0.5000
Li 0.5000 0.5000 0.5000
CELL_PARAMETERS angstrom
4.9770 0.0000 0.0000
0.0000 4.9770 0.0000
0.0000 0.0000 5.5281
```

Uncorrected formation energy (eV/atom): -0.1153
Uncorrected energy (eV/cell): -13.51
DOS(E_F) (states/eV per cell): 5.99

3.
## CsInPb3 (PBE)

Data for an optimized crystal structure of CsInPb3. Values from VASP.

Geometry as Quantum ESPRESSO input:
```
&SYSTEM
  ibrav = 0, nat = 5, ntyp = 3
/
ATOMIC_SPECIES
Pb 207.20 Pb.upf
In 114.82 In.upf
Cs 132.91 Cs.upf
ATOMIC_POSITIONS crystal
Pb 0.0000 0.5000 0.0000
Pb 0.5000 0.0000 0.0000
Pb 0.0000 0.0000 0.5000
In 0.5000 0.5000 0.5000
Cs 0.0000 0.0000 0.0000
CELL_PARAMETERS angstrom
-1.1781 -4.1728 4.6457
-2.3069 -4.1024 -4.2698
5.8029 -2.4780 -0.7543
```

Uncorrected energy (eV/cell): -9.07
Energy of formation from the pure elements (eV per atom): 1.13
DOS(E_F) (states/eV per cell): 4.40

4.
## Hf6Mn2Au (PBE)

Data for an optimized crystal structure of Hf6Mn2Au. Values from VASP.

Geometry as Quantum ESPRESSO input:
```
&SYSTEM
  ibrav = 0, nat = 18, ntyp = 3
/
ATOMIC_SPECIES
Hf 178.49 Hf.upf
Mn 54.94 Mn.upf
Au 196.97 Au.upf
ATOMIC_POSITIONS crystal
Hf 0.3099 0.9837 0.6738
Hf 0.3099 0.6361 0.3262
Hf 0.9129 0.7196 0.1932
Hf 0.7957 0.2432 0.0389
Hf 0.2043 0.2432 0.4475
Hf 0.0871 0.2804 0.8068
Hf 0.6901 0.0163 0.3262
Hf 0.4736 0.2804 0.1932
Hf 0.7957 0.7568 0.5525
Hf 0.6901 0.3639 0.6738
Hf 0.2043 0.7568 0.9611
Hf 0.5264 0.7196 0.8068
Mn 0.5000 0.6103 0.1103
Mn 0.6642 0.0000 0.6642
Mn 0.3358 0.0000 0.3358
Mn 0.5000 0.3897 0.8897
Au 0.0000 0.0000 0.0000
Au 0.0000 0.5000 0.5000
CELL_PARAMETERS angstrom
-7.6293 -0.4677 0.8747
3.7287 -5.0240 4.4773
2.6598 6.9044 2.1082
```

Uncorrected energy (eV/cell): -165.75
Energy of formation from the pure elements (eV per atom): -0.17
DOS(E_F) (states/eV per cell): 16.43

5.
## GePtF3 (PBE)

Data for an optimized crystal structure of GePtF3. Values from VASP.

Geometry as Quantum ESPRESSO input:
```
&SYSTEM
  ibrav = 0, nat = 5, ntyp = 3
/
ATOMIC_SPECIES
Pt 195.08 Pt.upf
F 19.00 F.upf
Ge 72.64 Ge.upf
ATOMIC_POSITIONS crystal
Pt 0.0000 0.0000 0.0000
F 0.0000 0.0000 0.5000
F 0.0000 0.5000 0.0000
F 0.5000 0.0000 0.0000
Ge 0.5000 0.5000 0.5000
CELL_PARAMETERS angstrom
4.3392 0.0000 0.0000
0.0000 4.3392 0.0000
0.0000 0.0000 4.3392
```

Uncorrected formation energy (eV/atom): -0.5663
Uncorrected energy (eV/cell): -19.10
DOS(E_F) (states/eV per cell): 2.67

6.
## Sc2AsW2 (PBE)

Data for an optimized crystal structure of Sc2AsW2. Values from VASP.

Geometry as Quantum ESPRESSO input:
```
&SYSTEM
  ibrav = 0, nat = 10, ntyp = 3
/
ATOMIC_SPECIES
Sc 44.96 Sc.upf
W 183.84 W.upf
As 74.92 As.upf
ATOMIC_POSITIONS crystal
Sc 0.3556 0.8556 0.0000
Sc 0.6444 0.1444 0.0000
Sc 0.1444 0.3556 0.0000
Sc 0.8556 0.6444 0.0000
W 0.6653 0.8347 0.5000
W 0.1653 0.6653 0.5000
W 0.3347 0.1653 0.5000
W 0.8347 0.3347 0.5000
As 0.5000 0.5000 0.0000
As 0.0000 0.0000 0.0000
CELL_PARAMETERS angstrom
-2.0069 6.4114 -0.5333
-5.2144 -1.2938 4.0688
2.2847 0.9847 3.2411
```

Uncorrected energy (eV/cell): -79.68
Energy of formation from the pure elements (eV per atom): 0.68
DOS(E_F) (states/eV per cell): 21.40

7.
## Sc4CoCu2 (PBE)

Data for an optimized crystal structure of Sc4CoCu2. Values from VASP.

Geometry as Quantum ESPRESSO input:
```
&SYSTEM
  ibrav = 0, nat = 7, ntyp = 3
/
ATOMIC_SPECIES
Sc 44.96 Sc.upf
Cu 63.55 Cu.upf
Co 58.93 Co.upf
ATOMIC_POSITIONS crystal
Sc 0.5000 0.5000 0.0000
Sc 0.5000 0.0000 0.5000
Sc 0.0000 0.7483 0.7483
Sc 0.0000 0.2517 0.2517
Cu 0.0000 0.2628 0.7372
Cu 0.0000 0.7372 0.2628
Co 0.5000 0.5000 0.5000
CELL_PARAMETERS angstrom
-1.2370 -3.6672 2.1569
-4.1245 -0.7647 -3.6655
4.5650 -2.6162 -1.8302
```

Uncorrected energy (eV/cell): -41.98
Energy of formation from the pure elements (eV per atom): -0.19
DOS(E_F) (states/eV per cell): 5.94

8.
## NaTe2Cl (PBE)

Data for an optimized crystal structure of NaTe2Cl. Values from VASP.

Geometry as Quantum ESPRESSO input:
```
&SYSTEM
  ibrav = 0, nat = 4, ntyp = 3
/
ATOMIC_SPECIES
Te 127.60 Te.upf
Cl 35.45 Cl.upf
Na 22.99 Na.upf
ATOMIC_POSITIONS crystal
Te 0.9142 0.9142 0.9142
Te 0.0858 0.0858 0.0858
Cl 0.0000 0.0000 0.0000
Na 0.5000 0.5000 0.5000
CELL_PARAMETERS angstrom
2.1785 -7.6583 7.0522
5.3879 -6.2155 6.7429
3.0344 -4.8249 8.9801
```

Uncorrected formation energy (eV/atom): -0.1182
Uncorrected energy (eV/cell): -9.92
DOS(E_F) (states/eV per cell): 2.43

9.
## ThTl5Te5 (PBE)

Data for an optimized crystal structure of ThTl5Te5. Values from VASP.

Geometry as Quantum ESPRESSO input:
```
&SYSTEM
  ibrav = 0, nat = 11, ntyp = 3
/
ATOMIC_SPECIES
Th 232.04 Th.upf
Tl 204.38 Tl.upf
Te 127.60 Te.upf
ATOMIC_POSITIONS crystal
Th 0.0000 0.0000 0.0000
Tl 0.0000 0.0000 0.5000
Tl 0.3195 0.6389 0.1498
Tl 0.6838 0.3676 0.3165
Tl 0.6805 0.3611 0.8502
Tl 0.3162 0.6324 0.6835
Te 0.8496 0.6992 0.1573
Te 0.8477 0.6954 0.6895
Te 0.5000 0.0000 0.0000
Te 0.1523 0.3046 0.3105
Te 0.1504 0.3008 0.8427
CELL_PARAMETERS angstrom
6.4496 0.0000 0.0000
-3.2248 7.7133 -0.1018
0.0000 -3.0040 9.1397
```

Uncorrected formation energy (eV/atom): -0.4964
Uncorrected energy (eV/cell): -40.42
DOS(E_F) (states/eV per cell): 5.45

10.
## TaBePb2 (PBE)

Data for an optimized crystal structure of TaBePb2. Values from VASP.

Geometry as Quantum ESPRESSO input:
```
&SYSTEM
  ibrav = 0, nat = 4, ntyp = 3
/
ATOMIC_SPECIES
Ta 180.95 Ta.upf
Pb 207.20 Pb.upf
Be 9.01 Be.upf
ATOMIC_POSITIONS crystal
Ta 0.5000 0.2500 0.2500
Pb 0.0000 0.9548 0.9974
Pb 0.0000 0.5452 0.5026
Be 0.5000 0.7500 0.7500
CELL_PARAMETERS angstrom
4.9917 0.0000 0.0000
0.0000 3.0997 -0.0182
0.0000 0.0352 5.5661
```

Uncorrected energy (eV/cell): -19.55
Energy of formation from the pure elements (eV per atom): 0.86
DOS(E_F) (states/eV per cell): 1.41

11.
## GaFeSn2I (PBE)

Data for an optimized crystal structure of GaFeSn2I. Values from VASP.

Geometry as Quantum ESPRESSO input:
```
&SYSTEM
  ibrav = 0, nat = 5, ntyp = 4
/
ATOMIC_SPECIES
Fe 55.84 Fe.upf
I 126.90 I.upf
Sn 118.71 Sn.upf
Ga 69.72 Ga.upf
ATOMIC_POSITIONS crystal
Fe 0.0000 0.0000 0.0000
I 0.5000 0.5000 0.5000
Sn 0.5000 0.0000 0.0000
Sn 0.0000 0.5000 0.0000
Ga 0.0000 0.0000 0.5000
CELL_PARAMETERS angstrom
5.0211 0.0000 0.0000
0.0000 5.0211 0.0000
0.0000 0.0000 4.8278
```

Uncorrected formation energy (eV/atom): -0.0856
Uncorrected energy (eV/cell): -21.47
DOS(E_F) (states/eV per cell): 0.29

12.
## Rb3ErTa2O8 (PBE)

Data for an optimized crystal structure of Rb3ErTa2O8. Values from VASP.

Geometry as Quantum ESPRESSO input:
```
&SYSTEM
  ibrav = 0, nat = 14, ntyp = 4
/
ATOMIC_SPECIES
Rb 85.47 Rb.upf
O 16.00 O.upf
Ta 180.95 Ta.upf
Er 167.26 Er.upf
ATOMIC_POSITIONS crystal
Rb 0.0000 0.0000 0.0000
Rb 0.3333 0.6667 0.6965
Rb 0.6667 0.3333 0.3035
O 0.1693 0.8308 0.3349
O 0.6615 0.8308 0.3349
O 0.3385 0.1693 0.6651
O 0.8308 0.6615 0.6651
O 0.6667 0.3333 0.9713
O 0.1693 0.3385 0.3349
O 0.8308 0.1693 0.6651
O 0.3333 0.6667 0.0287
Ta 0.3333 0.6667 0.2545
Ta 0.6667 0.3333 0.7455
Er 0.0000 0.0000 0.5000
CELL_PARAMETERS angstrom
6.2479 0.0000 0.0000
-3.1239 5.4108 0.0000
0.0000 0.0000 8.0531
```

Uncorrected formation energy (eV/atom): -2.6895
Uncorrected energy (eV/cell): -108.49
DOS(E_F) (states/eV per cell): 0.00

13.
## TbPm3Sm6Tm2 (PBE)

Data for an optimized crystal structure of TbPm3Sm6Tm2. Values from VASP.

Geometry as Quantum ESPRESSO input:
```
&SYSTEM
  ibrav = 0, nat = 12, ntyp = 4
/
ATOMIC_SPECIES
Sm 150.36 Sm.upf
Tm 168.93 Tm.upf
Pm 145.00 Pm.upf
Tb 158.93 Tb.upf
ATOMIC_POSITIONS crystal
Sm 0.2515 0.2515 0.7540
Sm 0.4162 0.0823 0.2461
Sm 0.7485 0.7485 0.2460
Sm 0.5838 0.9177 0.7539
Sm 0.0823 0.4162 0.2461
Sm 0.9177 0.5838 0.7539
Tm 0.6667 0.3333 0.0000
Tm 0.3333 0.6667 0.0000
Pm 0.8332 0.1668 0.5000
Pm 0.1668 0.8332 0.5000
Pm 0.5000 0.5000 0.5000
Tb 0.0000 0.0000 0.0000
CELL_PARAMETERS angstrom
6.2486 -0.0006 0.0076
-3.1233 5.4121 0.0076
-1.0546 -1.8261 11.7391
```

Uncorrected energy (eV/cell): -55.94
Energy of formation from the pure elements (eV per atom): 0.02
DOS(E_F) (states/eV per cell): 15.60

14.
## Ce4AsOsI2 (PBE)

Data for an optimized crystal structure of Ce4AsOsI2. Values from VASP.

Geometry as Quantum ESPRESSO input:
```
&SYSTEM
  ibrav = 0, nat = 8, ntyp = 4
/
ATOMIC_SPECIES
I 126.90 I.upf
As 74.92 As.upf
Ce 140.12 Ce.upf
Os 190.23 Os.upf
ATOMIC_POSITIONS crystal
I 0.5000 0.0000 0.5000
I 0.0000 0.5000 0.5000
As 0.0000 0.0000 0.0000
Ce 0.5000 0.7486 0.8030
Ce 0.0000 0.7156 0.1911
Ce 0.5000 0.2514 0.1970
Ce 0.0000 0.2844 0.8089
Os 0.5000 0.5000 0.0000
CELL_PARAMETERS angstrom
4.1818 0.0000 0.0000
0.0000 7.5034 0.2305
0.0000 -2.5398 7.5904
```

Uncorrected formation energy (eV/atom): -0.8773
Uncorrected energy (eV/cell): -49.73
DOS(E_F) (states/eV per cell): 23.90

15.
## NpGa2Cu (PBE)

Data for an optimized crystal structure of NpGa2Cu. Values from VASP.

Geometry as Quantum ESPRESSO input:
```
&SYSTEM
  ibrav = 0, nat = 4, ntyp = 3
/
ATOMIC_SPECIES
Cu 63.55 Cu.upf
Np 237.00 Np.upf
Ga 69.72 Ga.upf
ATOMIC_POSITIONS crystal
Cu 0.5000 0.0000 0.0000
Np 0.5000 0.5000 0.5000
Ga 0.0000 0.0000 0.5000
Ga 0.0000 0.5000 0.0000
CELL_PARAMETERS angstrom
-3.7445 -1.9965 -0.9806
0.5267 -2.5696 3.2205
-2.0548 2.6502 2.4506
```

Uncorrected energy (eV/cell): -22.80
Energy of formation from the pure elements (eV per atom): 0.07
DOS(E_F) (states/eV per cell): 7.93